Record 1
The following is a PBE-GGA calculation of a relaxed TaInSb4 crystal, from Alexandria via LeMat-Bulk.

Calculated values
ρ ... 8.0 g/cm³
Formation energy from raw total energies ... 0.806 eV/atom
D(E_F) ... 15.48 states/eV/cell
Uncorrected energy ... -4.3739 eV per atom
Crystal system ... cubic

```
data_TaInSb4
_chemical_formula_sum 'Ta4 In4 Sb16'
_symmetry_space_group_name_H-M 'F -4 3 m'
_symmetry_Int_Tables_number 216
_symmetry_space_group_name_Hall 'F -4 2 3'
_cell_length_a 8.6452
_cell_length_b 8.6452
_cell_length_c 8.6452
_cell_angle_alpha 90.00
_cell_angle_beta 90.00
_cell_angle_gamma 90.00
loop_
_atom_site_label
_atom_site_type_symbol
_atom_site_fract_x
_atom_site_fract_y
_atom_site_fract_z
_atom_site_occupancy
Ta1 Ta 0.0000 0.0000 0.0000 1
In1 In 0.2500 0.2500 0.7500 1
Sb1 Sb 0.1257 0.1257 0.3743 1
```

=====

Record 2
The following is a PBE-GGA calculation of a relaxed Th4Pt2C crystal, from Alexandria via LeMat-Bulk.

Calculated values
E_form ... -60.2 kJ/mol of atoms
ρ ... 12.1 g/cm³
D(E_F) ... 11.86 states/eV/cell
Uncorrected energy ... -7.9070 eV per atom
Crystal system ... tetragonal

```
data_Th4Pt2C
_chemical_formula_sum 'Th8 Pt4 C2'
_symmetry_space_group_name_H-M 'I 4/m m m'
_symmetry_Int_Tables_number 139
_symmetry_space_group_name_Hall '-I 4 2'
_cell_length_a 5.0361
_cell_length_b 5.0361
_cell_length_c 14.3491
_cell_angle_alpha 90.00
_cell_angle_beta 90.00
_cell_angle_gamma 90.00
loop_
_atom_site_label
_atom_site_type_symbol
_atom_site_fract_x
_atom_site_fract_y
_atom_site_fract_z
_atom_site_occupancy
Th1 Th 0.0000 0.0000 0.1807 1
Th2 Th 0.0000 0.5000 0.0000 1
Pt1 Pt 0.0000 0.0000 0.3713 1
C1 C 0.0000 0.0000 0.0000 1
```

=====

Record 3
The following is a PBE-GGA calculation of a relaxed Tl2CuSeO6 crystal, from Alexandria via LeMat-Bulk.

Calculated values
ρ ... 6.5 g/cm³
Formation energy from raw total energies ... -0.449 eV/atom
D(E_F) ... 5.41 states/eV/cell
Uncorrected energy ... -4.6554 eV per atom
Crystal system ... trigonal

```
data_Tl2CuSeO6
_chemical_formula_sum 'Tl2 Cu1 Se1 O6'
_symmetry_space_group_name_H-M 'P -3 m 1'
_symmetry_Int_Tables_number 164
_symmetry_space_group_name_Hall '-P 3 2"'
_cell_length_a 6.1167
_cell_length_b 6.1167
_cell_length_c 5.0749
_cell_angle_alpha 90.00
_cell_angle_beta 90.00
_cell_angle_gamma 120.00
loop_
_atom_site_label
_atom_site_type_symbol
_atom_site_fract_x
_atom_site_fract_y
_atom_site_fract_z
_atom_site_occupancy
Tl1 Tl 0.3333 0.6667 0.2998 1
Cu1 Cu 0.0000 0.0000 0.0000 1
Se1 Se 0.0000 0.0000 0.5000 1
O1 O 0.1344 0.2688 0.7266 1
```

=====

What is the uncorrected energy in the third record? -4.6554 eV per atom

=====

What is the ρ in the third record? 6.5 g/cm³

=====

The highest ρ belongs to which entry? Th4Pt2C